1.
{"formula": "Nb3TlHg", "functional": "SCAN", "state": "single point on PBEsol structure", "magmom_total_mub_per_cell": 0.00, "final_energy_ev_per_cell": -230.43, "relative_energy_mev_per_atom": 222, "cell": [[5.034, 0.000, 0.000], [0.000, 5.034, 0.000], [0.000, 0.000, 5.034]], "species": ["Nb", "Nb", "Nb", "Tl", "Hg"], "frac_coords": [[0.000, 0.000, 0.500], [0.000, 0.500, 0.000], [0.500, 0.000, 0.000], [0.000, 0.000, 0.000], [0.500, 0.500, 0.500]]}



2.
{"formula": "NbHg3W", "functional": "SCAN", "state": "single point on PBEsol structure", "magmom_total_mub_per_cell": 2.98, "final_energy_ev_per_cell": -297.59, "cell": [[5.214, 0.000, 0.000], [0.000, 5.214, 0.000], [0.000, 0.000, 5.214]], "species": ["Nb", "Hg", "Hg", "Hg", "W"], "frac_coords": [[0.000, 0.000, 0.000], [0.000, 0.000, 0.500], [0.000, 0.500, 0.000], [0.500, 0.000, 0.000], [0.500, 0.500, 0.500]]}



3.
{"formula": "NdHg", "functional": "SCAN", "state": "single point on PBEsol structure", "magmom_total_mub_per_cell": 0.37, "final_energy_ev_per_cell": -113.12, "cell": [[3.762, 0.000, 0.000], [0.000, 3.762, 0.000], [0.000, 0.000, 3.762]], "species": ["Nd", "Hg"], "frac_coords": [[0.000, 0.000, 0.000], [0.500, 0.500, 0.500]]}



4.
{"formula": "NdHg2", "functional": "SCAN", "state": "single point on PBEsol structure", "magmom_total_mub_per_cell": 0.31, "final_energy_ev_per_cell": -181.81, "cell": [[4.937, 0.000, 0.000], [-2.468, 4.275, 0.000], [0.000, 0.000, 3.442]], "species": ["Nd", "Hg", "Hg"], "frac_coords": [[0.000, 0.000, 0.000], [0.333, 0.667, 0.500], [0.667, 0.333, 0.500]]}



5.
{"formula": "Nd2HgPb", "functional": "SCAN", "state": "single point on PBEsol structure", "magmom_total_mub_per_cell": 0.00, "final_energy_ev_per_cell": -234.05, "cell": [[0.000, 3.810, 3.810], [3.810, 0.000, 3.810], [3.810, 3.810, 0.000]], "species": ["Nd", "Nd", "Hg", "Pb"], "frac_coords": [[0.250, 0.250, 0.250], [0.750, 0.750, 0.750], [0.000, 0.000, 0.000], [0.500, 0.500, 0.500]]}



6.
{"formula": "Nd2SnHg", "functional": "SCAN", "state": "single point on PBEsol structure", "magmom_total_mub_per_cell": 0.00, "final_energy_ev_per_cell": -194.28, "cell": [[0.000, 3.784, 3.784], [3.784, 0.000, 3.784], [3.784, 3.784, 0.000]], "species": ["Nd", "Nd", "Sn", "Hg"], "frac_coords": [[0.250, 0.250, 0.250], [0.750, 0.750, 0.750], [0.000, 0.000, 0.000], [0.500, 0.500, 0.500]]}